1.
A geometry-optimized TbPm2Ho3 structure, computed with GGA-PBE.

Computed properties:
Calculated formation energy (eV/atom): 0.100
Magnetization (μB/f.u.): 0.001
DOS(E_F) (states/eV per cell): 38.54

abc: 17.044 5.578 9.993
angles: 90.00 124.90 90.00
Space group C2/m (No. 12)
Unique sites:
Tb: 0.133 0.000 0.135 [4 per cell]
Pm: 0.009 0.500 0.859 [4 per cell]
Pm: 0.230 0.000 0.874 [4 per cell]
Ho: 0.048 0.000 0.392 [4 per cell]
Ho: 0.113 0.500 0.656 [4 per cell]
Ho: 0.209 0.500 0.425 [4 per cell]

2.
A geometry-optimized Tb4Pm5Ho structure, computed with GGA-PBE.

Computed properties:
Calculated formation energy (eV/atom): 0.148
Magnetization (μB/f.u.): 0.000
DOS(E_F) (states/eV per cell): 29.27

abc: 18.210 3.597 10.461
angles: 90.00 96.04 90.00
Space group C2/m (No. 12)
Unique sites:
Tb: 0.045 0.000 0.262 [4 per cell]
Tb: 0.183 0.500 0.412 [4 per cell]
Pm: 0.000 0.500 0.000 [2 per cell]
Pm: 0.142 0.000 0.731 [4 per cell]
Pm: 0.189 0.000 0.096 [4 per cell]
Ho: 0.000 0.500 0.500 [2 per cell]

3.
A geometry-optimized Tb8Pm6Ho structure, computed with GGA-PBE.

Computed properties:
Calculated formation energy (eV/atom): 0.176
Magnetization (μB/f.u.): 0.000
DOS(E_F) (states/eV per cell): 22.06

abc: 9.4031 9.4031 6.5502
angles: 90.00 90.00 120.00
Space group P-3 (No. 147)
Unique sites:
Tb: 0.0916 0.6546 0.3409 [6 per cell]
Tb: 0.3333 0.6667 0.8816 [2 per cell]
Pm: 0.0326 0.7475 0.8349 [6 per cell]
Ho: 0.0000 0.0000 0.5000 [1 per cell]

4.
A geometry-optimized Tb4Pm4Ho structure, computed with GGA-PBE.

Computed properties:
Calculated formation energy (eV/atom): 0.104
Magnetization (μB/f.u.): 0.000
DOS(E_F) (states/eV per cell): 30.08

abc: 16.833 5.605 6.868
angles: 90.00 112.74 90.00
Space group C2/m (No. 12)
Unique sites:
Tb: 0.074 0.000 0.379 [4 per cell]
Tb: 0.129 0.500 0.686 [4 per cell]
Pm: 0.133 0.000 0.962 [4 per cell]
Pm: 0.218 0.500 0.288 [4 per cell]
Ho: 0.000 0.500 0.000 [2 per cell]

5.
A geometry-optimized Tb2Pm5Ho2 structure, computed with GGA-PBE.

Computed properties:
Calculated formation energy (eV/atom): 0.220
Magnetization (μB/f.u.): 0.000
DOS(E_F) (states/eV per cell): 51.10

abc: 14.915 11.840 6.809
angles: 90.00 90.00 90.00
Space group Ima2 (No. 46)
Unique sites:
Tb: 0.128 0.005 0.000 [8 per cell]
Pm: 0.051 0.740 0.339 [8 per cell]
Pm: 0.144 0.232 0.670 [8 per cell]
Pm: 0.250 0.743 0.647 [4 per cell]
Ho: 0.000 0.000 0.506 [4 per cell]
Ho: 0.250 0.007 0.450 [4 per cell]

6.
A geometry-optimized Tb3Pm2Ho4 structure, computed with GGA-PBE.

Computed properties:
Calculated formation energy (eV/atom): 0.016
Magnetization (μB/f.u.): 0.000
DOS(E_F) (states/eV per cell): 11.69

abc: 6.168 6.174 9.415
angles: 70.96 89.94 60.04
Space group P-1 (No. 2)
Unique sites:
Tb: 0.000 0.000 0.000 [1 per cell]
Tb: 0.110 0.445 0.332 [2 per cell]
Pm: 0.444 0.779 0.332 [2 per cell]
Ho: 0.222 0.888 0.668 [2 per cell]
Ho: 0.333 0.334 0.000 [2 per cell]

7.
A geometry-optimized Tb5Pm4Ho structure, computed with GGA-PBE.

Computed properties:
Calculated formation energy (eV/atom): 0.183
Magnetization (μB/f.u.): 0.000
DOS(E_F) (states/eV per cell): 27.25

abc: 17.279 3.545 11.167
angles: 90.00 90.07 90.00
Space group C2/m (No. 12)
Unique sites:
Tb: 0.000 0.000 0.000 [2 per cell]
Tb: 0.173 0.500 0.552 [4 per cell]
Tb: 0.174 0.500 0.946 [4 per cell]
Pm: 0.030 0.500 0.749 [4 per cell]
Pm: 0.155 0.000 0.250 [4 per cell]
Ho: 0.000 0.000 0.500 [2 per cell]

8.
A geometry-optimized TbPm3Ho8 structure, computed with GGA-PBE.

Computed properties:
Calculated formation energy (eV/atom): 0.299
Magnetization (μB/f.u.): 0.001
DOS(E_F) (states/eV per cell): 30.90

abc: 6.434 11.269 11.407
angles: 90.00 90.00 90.00
Space group Immm (No. 71)
Unique sites:
Tb: 0.000 0.000 0.000 [2 per cell]
Pm: 0.000 0.000 0.500 [2 per cell]
Pm: 0.000 0.500 0.253 [4 per cell]
Ho: 0.000 0.169 0.250 [8 per cell]
Ho: 0.248 0.253 0.500 [8 per cell]

9.
A geometry-optimized Tb14PmHo structure, computed with GGA-PBE.

Computed properties:
Calculated formation energy (eV/atom): 0.000
Magnetization (μB/f.u.): 0.000
DOS(E_F) (states/eV per cell): 34.31

abc: 11.516 7.155 12.393
angles: 90.00 90.00 90.00
Space group Amm2 (No. 38)
Unique sites:
Tb: 0.000 0.000 0.000 [2 per cell]
Tb: 0.000 0.000 0.500 [2 per cell]
Tb: 0.000 0.250 0.250 [4 per cell]
Tb: 0.249 0.000 0.166 [4 per cell]
Tb: 0.249 0.250 0.417 [8 per cell]
Tb: 0.251 0.000 0.667 [4 per cell]
Tb: 0.500 0.250 0.083 [4 per cell]
Pm: 0.500 0.000 0.333 [2 per cell]
Ho: 0.500 0.000 0.833 [2 per cell]

10.
A geometry-optimized Tb2PmHo7 structure, computed with GGA-PBE.

Computed properties:
Calculated formation energy (eV/atom): 0.020
Magnetization (μB/f.u.): 0.000
DOS(E_F) (states/eV per cell): 14.22

abc: 6.133 6.139 9.367
angles: 102.56 109.05 99.53
Space group P-1 (No. 2)
Unique sites:
Tb: 0.100 0.499 0.199 [2 per cell]
Pm: 0.500 0.000 0.500 [1 per cell]
Ho: 0.101 0.000 0.701 [2 per cell]
Ho: 0.299 0.500 0.600 [2 per cell]
Ho: 0.300 0.000 0.099 [2 per cell]
Ho: 0.500 0.500 0.000 [1 per cell]

11.
A geometry-optimized Tb2PmHo structure, computed with GGA-PBE.

Computed properties:
Calculated formation energy (eV/atom): 0.019
Magnetization (μB/f.u.): 0.000
DOS(E_F) (states/eV per cell): 5.92

abc: 5.050 5.050 5.058
angles: 90.00 90.00 90.00
Space group P4/mmm (No. 123)
Unique sites:
Tb: 0.000 0.500 0.000 [2 per cell]
Pm: 0.000 0.000 0.500 [1 per cell]
Ho: 0.500 0.500 0.500 [1 per cell]